FeNi2BO5, optimized geometry, DFT GGA-PBEsol; magnetic moment = 19.49 μB/cell; space group = No. 55; formation energy without anion corrections = -1.25 eV per atom; D(E_F) = 23.91 states/eV per cell
1.0
2.9017 0.0000 0.0000
0.0000 9.1216 0.0000
0.0000 0.0000 11.8583
O B Ni Fe
20 4 8 4
Cartesian
0.0000 3.1485 0.4589 O
0.0000 5.9731 11.3994 O
0.0000 5.9940 9.0034 O
1.4508 5.6164 1.6829 O
0.0000 5.6304 4.2677 O
1.4508 3.5051 10.1754 O
1.4508 5.6611 6.9029 O
0.0000 1.4332 8.7841 O
1.4508 8.0659 7.6121 O
1.4508 3.4605 4.9554 O
0.0000 1.0696 1.6615 O
1.4508 1.0556 4.2462 O
0.0000 7.7093 5.4703 O
0.0000 1.4123 6.3880 O
1.4508 8.0212 0.9738 O
0.0000 3.4912 7.5906 O
0.0000 7.6884 3.0742 O
0.0000 8.0519 10.1968 O
1.4508 1.1003 10.8845 O
0.0000 3.1276 2.8549 O
0.0000 2.1166 7.5849 B
0.0000 6.6774 10.2026 B
0.0000 2.4442 1.6557 B
0.0000 7.0050 4.2734 B
1.4508 4.5608 0.0000 Ni
1.4508 0.0094 2.6412 Ni
1.4508 4.5702 3.2879 Ni
0.0000 0.0000 0.0000 Ni
1.4508 4.5514 8.5704 Ni
1.4508 9.1121 9.2170 Ni
1.4508 0.0000 5.9291 Ni
0.0000 4.5608 5.9291 Ni
0.0000 6.7944 1.3119 Fe
0.0000 2.2337 4.6173 Fe
0.0000 6.8879 7.2410 Fe
0.0000 2.3271 10.5464 Fe

---

FeB2O4, optimized geometry, DFT GGA-PBEsol; magnetic moment = 8.00 μB/cell; space group = No. 15; formation energy without anion corrections = -2.00 eV per atom; D(E_F) = 1.16 states/eV per cell
1.0
4.4129 0.0249 -0.0155
1.5566 5.3090 -0.0568
-1.5566 -2.3969 4.7375
O B Fe
8 4 2
Cartesian
0.5514 3.0385 2.3311 O
3.8615 -0.1015 2.3340 O
1.6550 0.7610 3.7481 O
3.4490 4.5414 1.0205 O
0.9639 -1.6044 3.6447 O
1.2426 3.9909 0.1635 O
3.1703 -1.0540 4.5017 O
2.7579 2.1759 0.9171 O
-0.4105 -1.2834 3.3548 B
2.6169 3.5891 0.3234 B
1.7959 -0.6521 4.3418 B
4.8234 4.2204 1.3103 B
1.1032 1.0938 1.7443 Fe
3.3097 1.8431 2.9209 Fe

---

FeB4O7, optimized geometry, DFT GGA-PBEsol; magnetic moment = 8.00 μB/cell; space group = No. 63; formation energy without anion corrections = -2.16 eV per atom; D(E_F) = 12.36 states/eV per cell
1.0
5.1793 0.0000 0.0000
0.0000 6.3310 0.0379
0.0000 2.9388 5.6077
B O Fe
8 14 2
Cartesian
3.8845 4.6892 5.1964 B
2.5897 6.5248 3.9738 B
1.2948 6.7687 1.7819 B
1.2948 4.5806 0.4492 B
2.5897 2.7450 1.6718 B
0.0000 2.7450 1.6718 B
3.8845 2.5011 3.8637 B
0.0000 6.5248 3.9738 B
1.2948 7.1548 4.5443 O
3.8845 7.3208 4.2718 O
2.4749 4.0554 1.0780 O
3.8845 3.2146 5.1549 O
3.8845 2.1150 1.1013 O
1.2948 1.9490 1.3738 O
5.0646 5.2144 4.5676 O
0.1147 4.0554 1.0780 O
2.7044 2.8188 3.1086 O
1.2948 6.0553 0.4906 O
5.0646 2.8188 3.1086 O
2.4749 6.4511 2.5370 O
0.1147 6.4511 2.5370 O
2.7044 5.2144 4.5676 O
3.8845 5.5368 1.3420 Fe
1.2948 3.7330 4.3036 Fe

---

FeBO3, optimized geometry, DFT GGA-PBEsol; magnetic moment = 2.01 μB/cell; space group = No. 167; formation energy without anion corrections = -1.75 eV per atom; D(E_F) = 3.88 states/eV per cell
1.0
4.4620 0.0000 0.0000
2.2310 3.8642 0.0000
2.2310 1.2881 4.5123
Fe O B
2 6 2
Cartesian
0.0000 0.0000 0.0000 Fe
4.4620 2.5761 2.2562 Fe
3.7706 3.9548 1.1281 O
6.0016 2.4856 1.1281 O
2.9224 2.6667 3.3843 O
3.6138 1.2881 1.1281 O
5.3102 3.8642 3.3843 O
5.1534 1.1975 3.3843 O
6.6930 3.8642 3.3843 B
2.2310 1.2881 1.1281 B

---

FeBP2O, optimized geometry, DFT GGA-PBEsol; magnetic moment = 2.90 μB/cell; space group = No. 123; formation energy without anion corrections = 0.12 eV per atom; polymorph energy (0 for the lowest one) = 0.00 eV/f.u.; D(E_F) = 3.84 states/eV per cell
1.0
-2.0220 -1.5494 0.6949
-0.3422 -1.5483 -4.4480
3.0174 -3.4963 0.9848
P O B Fe
2 1 1 1
Cartesian
1.5087 -1.7481 0.4924 P
-0.1711 -0.7741 -2.2240 P
-1.0110 -0.7747 0.3474 O
0.0000 0.0000 0.0000 B
0.3266 -3.2970 -1.3841 Fe

---

FeBPO2, optimized geometry, DFT GGA-PBEsol; magnetic moment = 0.02 μB/cell; space group = No. 123; formation energy without anion corrections = 0.15 eV per atom; D(E_F) = 3.40 states/eV per cell
1.0
-2.3698 -1.0076 2.1889
0.0794 -3.1011 -1.3415
3.5170 -1.2985 3.2099
P Fe B O
1 1 1 2
Cartesian
1.7585 -0.6492 1.6050 P
0.0000 0.0000 0.0000 Fe
0.6133 -2.7036 2.0287 B
0.0397 -1.5506 -0.6707 O
-1.1849 -0.5038 1.0945 O

---

FeBP2O, optimized geometry, DFT GGA-PBEsol; magnetic moment = 0.00 μB/cell; space group = No. 123; formation energy without anion corrections = 0.65 eV per atom; polymorph energy (0 for the lowest one) = 2.63 eV/f.u.; D(E_F) = 3.35 states/eV per cell
1.0
3.2839 0.0000 0.0000
0.0000 4.4332 0.0000
0.0000 0.0000 4.4332
Fe P B O
1 2 1 1
Cartesian
0.0000 0.0000 0.0000 Fe
0.0000 2.2166 0.0000 P
0.0000 0.0000 2.2166 P
1.6419 2.2166 2.2166 B
1.6419 0.0000 0.0000 O

---

TbFe3B4O12, optimized geometry, DFT GGA-PBEsol; magnetic moment = 3.00 μB/cell; space group = No. 155; formation energy without anion corrections = -2.05 eV per atom; D(E_F) = 14.24 states/eV per cell
1.0
-2.8756 -3.9602 -3.2677
5.6685 -0.7764 -1.3769
-0.4744 -2.0014 5.5136
O B Fe Tb
12 4 3 1
Cartesian
3.6952 -2.8633 -2.4101 O
2.1506 -2.5604 4.0597 O
1.3306 -3.6357 -3.2421 O
1.5173 -3.0770 1.7437 O
4.6801 -2.3661 -0.0304 O
2.0751 -3.1864 -0.5928 O
-0.1146 -3.8437 0.1526 O
-2.3681 -4.6834 -0.3461 O
4.0226 -1.9930 2.3123 O
-0.2608 -3.5677 3.8348 O
-2.0106 -4.0857 2.1828 O
-0.8064 -4.5660 -2.4503 O
4.8988 -1.9756 1.2621 B
0.1083 -4.2264 -3.4089 B
1.1593 -3.3690 0.4345 B
-1.5294 -3.9052 3.4503 B
1.9194 -2.1735 -2.2066 Fe
2.2211 -1.4639 2.4901 Fe
-1.8220 -3.1007 0.5855 Fe
0.0000 0.0000 0.0000 Tb

---

Zr2FeBPd, optimized geometry, DFT GGA-PBEsol; magnetic moment = 1.47 μB/cell; space group = No. 123; formation energy from the elements = 0.851 eV per atom; D(E_F) = 5.48 states/eV per cell
1.0
-2.2920 -2.5557 -1.7735
-1.3986 -1.8300 4.4446
-3.7797 3.2783 0.1604
B Zr Fe Pd
1 2 1 1
Cartesian
-1.1460 -1.2779 -0.8867 B
-1.8898 1.6392 0.0802 Zr
-0.6993 -0.9150 2.2223 Zr
-3.7351 -0.5537 1.4157 Fe
0.0000 0.0000 0.0000 Pd

---

RbFeB2, optimized geometry, DFT GGA-PBEsol; magnetic moment = 2.50 μB/cell; space group = No. 225; formation energy from the elements = 2.252 eV per atom; D(E_F) = 5.25 states/eV per cell
1.0
4.3727 0.0000 0.0000
2.1864 3.7869 0.0000
2.1864 1.2623 3.5703
B Fe Rb
2 1 1
Cartesian
2.1864 1.2623 0.8926 B
6.5591 3.7869 2.6777 B
0.0000 0.0000 0.0000 Fe
4.3727 2.5246 1.7851 Rb

---

FeRe3B, optimized geometry, DFT GGA-PBEsol; magnetic moment = 1.56 μB/cell; space group = No. 221; formation energy from the elements = 0.418 eV per atom; D(E_F) = 3.58 states/eV per cell
1.0
-1.7504 -3.6312 0.0795
1.8526 -0.9685 -3.4475
3.1241 -1.4602 2.0889
Re Fe B
3 1 1
Cartesian
-0.8752 -1.8156 0.0398 Re
0.9263 -0.4842 -1.7238 Re
1.5620 -0.7301 1.0445 Re
1.6131 -3.0299 -0.6395 Fe
0.0000 0.0000 0.0000 B

---

Fe9B4Rh3, optimized geometry, DFT GGA-PBEsol; magnetic moment = 19.11 μB/cell; space group = No. 6; formation energy from the elements = -0.239 eV per atom; D(E_F) = 15.02 states/eV per cell
1.0
-2.2233 -3.7597 0.4058
3.3478 -1.5208 3.9475
-4.0441 2.8816 4.5399
Rh Fe B
3 9 4
Cartesian
-3.3346 -0.9673 2.6292 Rh
1.3060 -1.1945 1.9215 Rh
2.4277 -2.8795 3.9902 Rh
-2.4218 -2.1598 7.2404 Fe
-3.5907 -0.5824 5.2030 Fe
-2.4821 1.1958 3.9081 Fe
0.0451 -3.9175 4.4711 Fe
0.1980 -1.4598 4.2241 Fe
-1.1197 -2.3430 2.4291 Fe
-0.9470 0.1020 2.1848 Fe
-1.3144 -0.3822 5.9219 Fe
-2.2159 -2.6625 4.7016 Fe
0.7753 -3.1404 2.6839 B
-1.6436 -3.6094 0.8268 B
0.7413 -0.2213 5.7864 B
-1.6920 -0.7325 3.9434 B

---

Sc2FeB2RuRh4, optimized geometry, DFT GGA-PBEsol; magnetic moment = 8.13 μB/cell; space group = No. 127; formation energy from the elements = -0.708 eV per atom; D(E_F) = 6.78 states/eV per cell
1.0
2.9929 0.0000 0.0000
0.0000 9.2283 0.0000
0.0000 0.0000 9.2283
B Rh Ru Sc Fe
4 8 2 4 2
Cartesian
0.0000 1.1403 5.7545 B
0.0000 5.7545 8.0880 B
0.0000 8.0880 3.4738 B
0.0000 3.4738 1.1403 B
1.4965 1.9706 0.6646 Rh
1.4965 2.6436 5.2788 Rh
1.4965 3.9496 2.6436 Rh
1.4965 6.5848 3.9496 Rh
1.4965 0.6646 7.2577 Rh
1.4965 5.2788 6.5848 Rh
1.4965 7.2577 8.5637 Rh
1.4965 8.5637 1.9706 Rh
1.4965 0.0000 4.6142 Ru
1.4965 4.6142 0.0000 Ru
0.0000 6.2168 1.6027 Sc
0.0000 1.6027 3.0115 Sc
0.0000 3.0115 7.6257 Sc
0.0000 7.6257 6.2168 Sc
0.0000 4.6142 4.6142 Fe
0.0000 0.0000 0.0000 Fe

---

Sc2FeB2Ru4Rh, optimized geometry, DFT GGA-PBEsol; magnetic moment = 5.25 μB/cell; space group = No. 127; formation energy from the elements = -0.511 eV per atom; D(E_F) = 13.31 states/eV per cell
1.0
2.9863 0.0000 0.0000
0.0000 9.1943 0.0000
0.0000 0.0000 9.1943
Ru B Sc Fe Rh
8 4 4 2 2
Cartesian
1.4931 2.6412 5.2394 Ru
1.4931 6.5531 3.9549 Ru
1.4931 1.9560 0.6422 Ru
1.4931 3.9549 2.6412 Ru
1.4931 0.6422 7.2383 Ru
1.4931 7.2383 8.5521 Ru
1.4931 8.5521 1.9560 Ru
1.4931 5.2394 6.5531 Ru
0.0000 5.7636 8.0279 B
0.0000 8.0279 3.4308 B
0.0000 1.1664 5.7636 B
0.0000 3.4308 1.1664 B
0.0000 6.2165 1.6194 Sc
0.0000 2.9778 7.5749 Sc
0.0000 7.5749 6.2165 Sc
0.0000 1.6194 2.9778 Sc
0.0000 4.5972 4.5972 Fe
0.0000 0.0000 0.0000 Fe
1.4931 0.0000 4.5972 Rh
1.4931 4.5972 0.0000 Rh

---

Sc2FeB2Ru2Rh3, optimized geometry, DFT GGA-PBEsol; magnetic moment = 6.94 μB/cell; space group = No. 55; formation energy from the elements = -0.629 eV per atom; D(E_F) = 9.95 states/eV per cell
1.0
2.9979 0.0000 0.0000
0.0000 9.1765 0.0000
0.0000 0.0000 9.2398
Sc Fe Rh B Ru
4 2 6 4 4
Cartesian
0.0000 1.6167 2.9891 Sc
0.0000 2.9715 7.6090 Sc
0.0000 6.2049 1.6308 Sc
0.0000 7.5598 6.2507 Sc
0.0000 0.0000 0.0000 Fe
0.0000 4.5882 4.6199 Fe
1.4990 0.0000 4.6199 Rh
1.4990 6.5691 3.9745 Rh
1.4990 7.1956 8.5944 Rh
1.4990 2.6074 5.2653 Rh
1.4990 4.5882 0.0000 Rh
1.4990 1.9808 0.6454 Rh
0.0000 8.0639 3.4220 B
0.0000 1.1125 5.8178 B
0.0000 3.4757 1.1979 B
0.0000 5.7008 8.0420 B
1.4990 0.6273 7.2707 Ru
1.4990 3.9610 2.6508 Ru
1.4990 5.2155 6.5890 Ru
1.4990 8.5492 1.9691 Ru

---

Ti2FeB2Ru4Rh, optimized geometry, DFT GGA-PBEsol; magnetic moment = 6.03 μB/cell; space group = No. 10; formation energy from the elements = -0.513 eV per atom; D(E_F) = 9.29 states/eV per cell
1.0
-0.7824 2.7632 -0.6661
-8.6299 -2.5943 -0.6253
-1.1707 1.7982 8.8350
Ru B Rh Fe Ti
8 4 2 2 4
Cartesian
-4.9054 1.5515 5.6745 Ru
-0.9766 2.2807 4.0845 Ru
-3.2920 2.5002 7.7148 Ru
-1.2838 1.5666 1.4829 Ru
-4.7062 0.0844 -0.6457 Ru
-7.2911 -0.5331 -0.1711 Ru
-5.6777 0.4155 1.8692 Ru
-9.2992 0.4005 6.0608 Ru
-1.4923 0.3537 3.2202 B
-4.2679 0.5954 7.4833 B
-8.3084 -1.1498 4.9896 B
-5.5328 -1.3915 0.7264 B
-3.3705 1.4026 3.2536 Rh
-7.2126 0.5645 4.2901 Rh
0.0000 0.0000 0.0000 Fe
-4.9003 -0.3981 4.1049 Fe
-2.9943 -0.5327 1.3076 Ti
-7.5027 -1.5683 2.3072 Ti
-2.2980 0.7721 5.9026 Ti
-6.8064 -0.2635 6.9022 Ti

---

Fe2BTeRu, optimized geometry, DFT GGA-PBEsol; magnetic moment = 6.41 μB/cell; space group = No. 123; formation energy without anion corrections = 1.15 eV per atom; D(E_F) = 5.81 states/eV per cell
1.0
-3.7449 -0.9065 0.6634
-0.7880 -0.1055 -4.5924
1.0827 -4.5325 -0.0817
Ru Fe Te B
1 2 1 1
Cartesian
0.0000 0.0000 0.0000 Ru
0.5413 -2.2663 -0.0408 Fe
-0.3940 -0.0527 -2.2962 Fe
-1.7251 -2.7722 -2.0054 Te
-1.8725 -0.4532 0.3317 B

---

Zr2FeB2Ru5, optimized geometry, DFT GGA-PBEsol; magnetic moment = 5.33 μB/cell; space group = No. 127; formation energy from the elements = -0.511 eV per atom; D(E_F) = 9.42 states/eV per cell
1.0
3.0358 0.0000 0.0000
0.0000 9.2164 0.0000
0.0000 0.0000 9.2164
Ru B Zr Fe
10 4 4 2
Cartesian
1.5179 1.9619 0.6480 Ru
1.5179 8.5684 1.9619 Ru
1.5179 2.6463 5.2563 Ru
1.5179 7.2546 8.5684 Ru
1.5179 6.5701 3.9602 Ru
1.5179 3.9602 2.6463 Ru
1.5179 4.6082 0.0000 Ru
1.5179 5.2563 6.5701 Ru
1.5179 0.0000 4.6082 Ru
1.5179 0.6480 7.2546 Ru
0.0000 1.1429 5.7511 B
0.0000 8.0736 3.4653 B
0.0000 5.7511 8.0736 B
0.0000 3.4653 1.1429 B
0.0000 6.2309 1.6227 Zr
0.0000 7.5937 6.2309 Zr
0.0000 2.9855 7.5937 Zr
0.0000 1.6227 2.9855 Zr
0.0000 4.6082 4.6082 Fe
0.0000 0.0000 0.0000 Fe

---

FeBS2, optimized geometry, DFT GGA-PBEsol; magnetic moment = 0.85 μB/cell; space group = No. 122; formation energy without anion corrections = -0.23 eV per atom; D(E_F) = 4.55 states/eV per cell
1.0
-1.7753 0.5579 4.3683
-4.2519 -1.4432 -1.5437
4.0940 -3.7879 -0.4329
S B Fe
4 2 2
Cartesian
-0.5530 -3.3456 1.4928 S
-3.4226 -1.9818 0.3266 S
-2.0644 -1.0189 2.9877 S
2.1736 -3.0003 -0.0237 S
-0.3474 -1.8364 2.6738 B
-3.0136 -0.4427 1.4123 B
0.0000 0.0000 0.0000 Fe
-1.5858 -2.8369 -0.2822 Fe